This record from Alexandria describes a geometry-optimized Cr5Cl4 structure. The functional is GGA-PBE.

abc: 7.9205 7.9205 6.9423
angles: 90.00 90.00 120.00
Last column: nearest neighbours and their distance in Å.
Space group P6_3/mcm (No. 193)
Symmetry-distinct sites (fractional):
Cr (0.0000, 0.2734, 0.2500)  5 Cl 2.63-2.78
Cr (0.3333, 0.6667, 0.0000)  6 Cl 2.99
Cl (0.0000, 0.0000, 0.0000)  6 Cr 2.78
Cl (0.0000, 0.3947, 0.7500)  3 Cr 2.63-2.77

Fermi-level density of states: 1.673 states/eV/f.u.
crystal system: hexagonal
total moment: 50.517 Bohr magnetons per cell
formation energy without anion corrections: 0.418 eV per atom